1.
# PrSmTm2Sc, optimized geometry, DFT GGA-PBE
# Calculated formation energy, meV per atom: 48
# VASP energy, eV per atom: -4.907
data_PrSmTm2Sc
_cell_length_a 7.843
_cell_length_b 4.989
_cell_length_c 7.867
_cell_angle_alpha 90.00
_cell_angle_beta 90.07
_cell_angle_gamma 90.00
_symmetry_space_group_name_H-M 'P 1 21/m 1'
_symmetry_Int_Tables_number 11
loop_
_symmetry_equiv_pos_as_xyz
'x,y,z'
'-x,-y,-z'
'-x,y+1/2,-z'
'x,-y+1/2,z'
loop_
_atom_site_label
_atom_site_type_symbol
_atom_site_fract_x
_atom_site_fract_y
_atom_site_fract_z
Pr1 Pr 0.245 0.250 0.241
Sm1 Sm 0.446 0.250 0.653
Tm1 Tm 0.146 0.750 0.548
Tm2 Tm 0.340 0.750 0.947
Sc1 Sc 0.048 0.250 0.850

=====

2.
# PrSmTmSc, optimized geometry, DFT GGA-PBE
# Calculated formation energy, meV per atom: 92
# VASP energy, eV per atom: -4.983
data_PrSmTmSc
_cell_length_a 7.925
_cell_length_b 7.925
_cell_length_c 7.925
_cell_angle_alpha 90.00
_cell_angle_beta 90.00
_cell_angle_gamma 90.00
_symmetry_space_group_name_H-M 'F -4 3 m'
_symmetry_Int_Tables_number 216
_symmetry_space_group_name_Hall 'F -4 2 3'
loop_
_atom_site_label
_atom_site_type_symbol
_atom_site_fract_x
_atom_site_fract_y
_atom_site_fract_z
Pr1 Pr 0.000 0.000 0.000
Sm1 Sm 0.000 0.000 0.500
Tm1 Tm 0.250 0.250 0.750
Sc1 Sc 0.250 0.250 0.250

=====

3.
# Pr5Sm2TmSc, optimized geometry, DFT GGA-PBE
# Calculated formation energy, meV per atom: 287
# VASP energy, eV per atom: -4.618
data_Pr5Sm2TmSc
_cell_length_a 8.435
_cell_length_b 8.435
_cell_length_c 17.376
_cell_angle_alpha 90.00
_cell_angle_beta 90.00
_cell_angle_gamma 90.00
_symmetry_space_group_name_H-M 'I 4/m c m'
_symmetry_Int_Tables_number 140
_symmetry_space_group_name_Hall '-I 4 2c'
loop_
_atom_site_label
_atom_site_type_symbol
_atom_site_fract_x
_atom_site_fract_y
_atom_site_fract_z
Pr1 Pr 0.000 0.000 0.000
Pr2 Pr 0.219 0.281 0.146
Sm1 Sm 0.126 0.374 0.500
Tm1 Tm 0.000 0.000 0.250
Sc1 Sc 0.000 0.500 0.250

=====

4.
# Pr2Sm4TmSc, optimized geometry, DFT GGA-PBE
# Calculated formation energy, meV per atom: 34
# VASP energy, eV per atom: -4.871
data_Pr2Sm4TmSc
_cell_length_a 5.073
_cell_length_b 5.088
_cell_length_c 10.113
_cell_angle_alpha 90.00
_cell_angle_beta 90.06
_cell_angle_gamma 90.00
_symmetry_space_group_name_H-M 'P 1 2/m 1'
_symmetry_Int_Tables_number 10
loop_
_symmetry_equiv_pos_as_xyz
'x,y,z'
'-x,-y,-z'
'-x,y,-z'
'x,-y,z'
loop_
_atom_site_label
_atom_site_type_symbol
_atom_site_fract_x
_atom_site_fract_y
_atom_site_fract_z
Pr1 Pr 0.000 0.000 0.000
Pr2 Pr 0.500 0.500 0.500
Sm1 Sm 0.000 0.500 0.246
Sm2 Sm 0.500 0.000 0.247
Tm1 Tm 0.000 0.000 0.500
Sc1 Sc 0.500 0.500 0.000

=====

5.
# Pr2Sm3Tm6Sc, optimized geometry, DFT GGA-PBE
# Calculated formation energy, meV per atom: 27
# VASP energy, eV per atom: -4.712
data_Pr2Sm3Tm6Sc
_cell_length_a 6.135
_cell_length_b 10.625
_cell_length_c 11.699
_cell_angle_alpha 90.00
_cell_angle_beta 100.05
_cell_angle_gamma 90.00
_symmetry_space_group_name_H-M 'C 1 2/m 1'
_symmetry_Int_Tables_number 12
loop_
_symmetry_equiv_pos_as_xyz
'x,y,z'
'-x,-y,-z'
'-x,y,-z'
'x,-y,z'
'x+1/2,y+1/2,z'
'-x+1/2,-y+1/2,-z'
'-x+1/2,y+1/2,-z'
'x+1/2,-y+1/2,z'
loop_
_atom_site_label
_atom_site_type_symbol
_atom_site_fract_x
_atom_site_fract_y
_atom_site_fract_z
Pr1 Pr 0.000 0.166 0.000
Sm1 Sm 0.000 0.000 0.500
Sm2 Sm 0.000 0.333 0.500
Tm1 Tm 0.248 0.335 0.249
Tm2 Tm 0.248 0.500 0.751
Sc1 Sc 0.000 0.500 0.000

=====

6.
# Pr3Sm6Tm2Sc, optimized geometry, DFT GGA-PBE
# Calculated formation energy, meV per atom: 34
# VASP energy, eV per atom: -4.793
data_Pr3Sm6Tm2Sc
_cell_length_a 6.246
_cell_length_b 10.821
_cell_length_c 11.885
_cell_angle_alpha 90.00
_cell_angle_beta 100.09
_cell_angle_gamma 90.00
_symmetry_space_group_name_H-M 'C 1 2/m 1'
_symmetry_Int_Tables_number 12
loop_
_symmetry_equiv_pos_as_xyz
'x,y,z'
'-x,-y,-z'
'-x,y,-z'
'x,-y,z'
'x+1/2,y+1/2,z'
'-x+1/2,-y+1/2,-z'
'-x+1/2,y+1/2,-z'
'x+1/2,-y+1/2,z'
loop_
_atom_site_label
_atom_site_type_symbol
_atom_site_fract_x
_atom_site_fract_y
_atom_site_fract_z
Pr1 Pr 0.000 0.000 0.000
Pr2 Pr 0.000 0.333 0.000
Sm1 Sm 0.246 0.335 0.741
Sm2 Sm 0.250 0.000 0.741
Tm1 Tm 0.000 0.167 0.500
Sc1 Sc 0.000 0.500 0.500

=====

7.
# Pr2Sm6Tm3Sc, optimized geometry, DFT GGA-PBE
# Calculated formation energy, meV per atom: 29
# VASP energy, eV per atom: -4.773
data_Pr2Sm6Tm3Sc
_cell_length_a 6.199
_cell_length_b 10.739
_cell_length_c 11.832
_cell_angle_alpha 90.00
_cell_angle_beta 100.07
_cell_angle_gamma 90.00
_symmetry_space_group_name_H-M 'C 1 2/m 1'
_symmetry_Int_Tables_number 12
loop_
_symmetry_equiv_pos_as_xyz
'x,y,z'
'-x,-y,-z'
'-x,y,-z'
'x,-y,z'
'x+1/2,y+1/2,z'
'-x+1/2,-y+1/2,-z'
'-x+1/2,y+1/2,-z'
'x+1/2,-y+1/2,z'
loop_
_atom_site_label
_atom_site_type_symbol
_atom_site_fract_x
_atom_site_fract_y
_atom_site_fract_z
Pr1 Pr 0.000 0.167 0.000
Sm1 Sm 0.246 0.500 0.747
Sm2 Sm 0.248 0.335 0.253
Tm1 Tm 0.000 0.000 0.500
Tm2 Tm 0.000 0.334 0.500
Sc1 Sc 0.000 0.500 0.000

=====

8.
# PrSm2Tm5Sc, optimized geometry, DFT GGA-PBE
# Calculated formation energy, meV per atom: 168
# VASP energy, eV per atom: -4.599
data_PrSm2Tm5Sc
_cell_length_a 5.555
_cell_length_b 19.596
_cell_length_c 10.375
_cell_angle_alpha 90.00
_cell_angle_beta 90.00
_cell_angle_gamma 90.00
_symmetry_space_group_name_H-M 'C m c 21'
_symmetry_Int_Tables_number 36
loop_
_symmetry_equiv_pos_as_xyz
'x,y,z'
'-x,-y,z+1/2'
'-x,y,z'
'x,-y,z+1/2'
'x+1/2,y+1/2,z'
'-x+1/2,-y+1/2,z+1/2'
'-x+1/2,y+1/2,z'
'x+1/2,-y+1/2,z+1/2'
loop_
_atom_site_label
_atom_site_type_symbol
_atom_site_fract_x
_atom_site_fract_y
_atom_site_fract_z
Pr1 Pr 0.000 0.086 0.000
Sm1 Sm 0.000 0.385 0.277
Sm2 Sm 0.000 0.388 0.859
Tm1 Tm 0.000 0.019 0.282
Tm2 Tm 0.000 0.124 0.563
Tm3 Tm 0.000 0.203 0.250
Tm4 Tm 0.000 0.223 0.868
Tm5 Tm 0.000 0.482 0.566
Sc1 Sc 0.000 0.302 0.559

=====

Look up the calculated formation energy of the seventh one. 29 meV per atom